Record 1
Here is a geometry-optimized CeCo2Si2 structure from Alexandria. Energies are from PBE.

Cell and atoms, written as POSCAR:
```
CeCo2Si2
1.0
-4.1864 0.0819 3.2044
-2.9839 -4.0312 0.5422
1.9127 -2.2128 6.8947
Si Ce Co
4 2 4
Cartesian
-0.9311 -3.1766 8.6287
-2.9242 -2.0537 5.9901
-2.3333 -4.1084 4.6511
-4.3265 -2.9854 2.0125
-5.4225 -3.5032 4.9343
0.1650 -2.6589 5.7069
-2.2351 -4.0207 6.9438
-0.6531 -0.9199 2.4240
-4.6044 -5.2422 8.2173
-3.0224 -2.1414 3.6975
```

Computed properties:
Formation energy without anion corrections: -0.61 eV/atom


Record 2
Here is a geometry-optimized FeAsOs structure from Alexandria. Energies are from PBE.

Cell and atoms, written as POSCAR:
```
FeAsOs
1.0
4.0960 0.0000 0.0000
2.0480 3.5473 0.0000
2.0480 1.1824 3.3444
Fe Os As
1 1 1
Cartesian
4.0960 2.3648 1.6722
6.1440 3.5473 2.5083
0.0000 0.0000 0.0000
```

Computed properties:
Energy of formation from the pure elements: 0.18 eV per atom